! PBE with a Hubbard U Ac2MnSb2O2, relaxed; values from VASP
&SYSTEM
  ibrav = 0, nat = 7, ntyp = 4
/
ATOMIC_SPECIES
O 16.00 O.upf
Mn 54.94 Mn.upf
Ac 227.00 Ac.upf
Sb 121.76 Sb.upf
ATOMIC_POSITIONS crystal
O 0.811 0.294 0.083
O 0.189 0.706 0.917
Mn 0.000 0.000 0.000
Ac 0.788 0.665 0.760
Ac 0.212 0.335 0.240
Sb 0.535 0.261 0.670
Sb 0.465 0.739 0.330
CELL_PARAMETERS angstrom
-3.566 2.482 -0.100
-4.914 -3.142 2.810
-1.637 1.738 7.056
! Uncorrected energy (eV/atom): -6.639
! Space group: C2/m